The following is a DFT calculation (PBE-GGA) of a relaxed structure of NaSrBiCl6.

E_form (uncorrected)	-1.6618	eV/atom
V	31.52	Å³ per atom
VASP energy	-3.658	eV per atom
theoretical density	3.116	g/cm³

a b c (Å): 7.2673 7.2673 12.4044
angles (deg): 90.00 90.00 120.00
With the nearest neighbours (Å) after each atom.
Positions (direct):
Na 0.0000 0.0000 0.0000  6 Cl 2.96
Na 0.0000 0.0000 0.5000  6 Cl 2.96
Sr 0.3333 0.6667 0.2500  6 Cl 2.92
Sr 0.6667 0.3333 0.7500  6 Cl 2.92
Bi 0.3333 0.6667 0.7500  6 Cl 2.74
Bi 0.6667 0.3333 0.2500  6 Cl 2.74
Cl 0.0183 0.3539 0.6270  1 Bi 2.74, 1 Sr 2.92, 1 Na 2.96
Cl 0.0183 0.6644 0.8730  1 Bi 2.74, 1 Sr 2.92, 1 Na 2.96
Cl 0.3356 0.3539 0.8730  1 Bi 2.74, 1 Sr 2.92, 1 Na 2.96
Cl 0.3356 0.9817 0.6270  1 Bi 2.74, 1 Sr 2.92, 1 Na 2.96
Cl 0.3539 0.0183 0.1270  1 Bi 2.74, 1 Sr 2.92, 1 Na 2.96
Cl 0.3539 0.3356 0.3730  1 Bi 2.74, 1 Sr 2.92, 1 Na 2.96
Cl 0.6461 0.6644 0.6270  1 Bi 2.74, 1 Sr 2.92, 1 Na 2.96
Cl 0.6461 0.9817 0.8730  1 Bi 2.74, 1 Sr 2.92, 1 Na 2.96
Cl 0.6644 0.0183 0.3730  1 Bi 2.74, 1 Sr 2.92, 1 Na 2.96
Cl 0.6644 0.6461 0.1270  1 Bi 2.74, 1 Sr 2.92, 1 Na 2.96
Cl 0.9817 0.3356 0.1270  1 Bi 2.74, 1 Sr 2.92, 1 Na 2.96
Cl 0.9817 0.6461 0.3730  1 Bi 2.74, 1 Sr 2.92, 1 Na 2.96


The following is a DFT calculation (PBE-GGA) of a relaxed structure of Na2SrBiCl.

E_form (uncorrected)	-0.9991	eV/atom
V	31.44	Å³ per atom
VASP energy	-3.009	eV per atom
theoretical density	3.993	g/cm³

a b c (Å): 5.1885 5.1885 5.8402
angles (deg): 90.00 90.00 90.00
With the nearest neighbours (Å) after each atom.
Positions (direct):
Na 0.0000 0.5000 0.0000  2 Cl 2.59
Na 0.5000 0.0000 0.0000  2 Cl 2.59
Sr 0.0000 0.0000 0.5000  2 Cl 2.92
Bi 0.5000 0.5000 0.5000  4 Sr 3.67, 8 Na 3.91
Cl 0.0000 0.0000 0.0000  4 Na 2.59


The following is a DFT calculation (PBE-GGA) of a relaxed structure of NaTcBiCl2.

E_form (uncorrected)	0.4411	eV/atom
V	28.48	Å³ per atom
VASP energy	-3.411	eV per atom
theoretical density	4.675	g/cm³

a b c (Å): 4.8173 4.8173 6.1355
angles (deg): 90.00 90.00 90.00
With the nearest neighbours (Å) after each atom.
Positions (direct):
Na 0.0000 0.0000 0.0000  4 Cl 2.41
Tc 0.5000 0.5000 0.5000  4 Bi 3.41
Bi 0.0000 0.0000 0.5000  2 Na 3.07, 4 Tc 3.41
Cl 0.0000 0.5000 0.0000  2 Na 2.41
Cl 0.5000 0.0000 0.0000  2 Na 2.41


The following is a DFT calculation (PBE-GGA) of a relaxed structure of NaTl2BiCl6.

E_form (uncorrected)	-1.1937	eV/atom
V	30.91	Å³ per atom
VASP energy	-3.295	eV per atom
theoretical density	4.585	g/cm³

a b c (Å): 7.3941 7.8201 12.9436
angles (deg): 90.00 124.32 90.00
With the nearest neighbours (Å) after each atom.
Positions (direct):
Na 0.0000 0.0000 0.0000  6 Cl 2.83-2.87
Na 0.0000 0.5000 0.5000  6 Cl 2.83-2.87
Tl 0.2276 0.0715 0.7500  6 Cl 3.22-3.51
Tl 0.2276 0.4285 0.2500  6 Cl 3.22-3.51
Tl 0.7724 0.5715 0.7500  6 Cl 3.22-3.51
Tl 0.7724 0.9285 0.2500  6 Cl 3.22-3.51
Bi 0.5000 0.0000 0.5000  6 Cl 2.74
Bi 0.5000 0.5000 0.0000  6 Cl 2.74
Cl 0.1504 0.1912 0.4523  1 Bi 2.74, 1 Na 2.87
Cl 0.1504 0.3088 0.9523  1 Bi 2.74, 1 Na 2.87
Cl 0.2632 0.7056 0.4501  1 Bi 2.74, 1 Na 2.87
Cl 0.2632 0.7944 0.9501  1 Bi 2.74, 1 Na 2.87
Cl 0.3537 0.0260 0.2538  1 Bi 2.74, 1 Na 2.83
Cl 0.3537 0.4740 0.7538  1 Bi 2.74, 1 Na 2.83
Cl 0.6463 0.5260 0.2462  1 Bi 2.74, 1 Na 2.83
Cl 0.6463 0.9740 0.7462  1 Bi 2.74, 1 Na 2.83
Cl 0.7368 0.2056 0.0499  1 Bi 2.74, 1 Na 2.87
Cl 0.7368 0.2944 0.5499  1 Bi 2.74, 1 Na 2.87
Cl 0.8496 0.6912 0.0477  1 Bi 2.74, 1 Na 2.87
Cl 0.8496 0.8088 0.5477  1 Bi 2.74, 1 Na 2.87


Q: Number 2 is which compound?
A: Na2SrBiCl


Q: The lowest V belongs to which entry?
A: NaTcBiCl2